Run w
Computed, not measured: Tb2Er5Tm4 after structural relaxation at the GGA-PBE level of DFT.

a b c (Å): 3.505 7.833 15.257
angles (deg): 84.06 125.11 102.98
Positions (direct):
Tm  0.682  0.546  0.364
Tm  0.045  0.636  0.091
Tm  0.318  0.454  0.636
Tm  0.955  0.364  0.909
Er  0.229  0.183  0.455
Er  0.500  0.000  0.000
Er  0.771  0.817  0.545
Er  0.137  0.908  0.273
Er  0.863  0.092  0.727
Tb  0.409  0.727  0.818
Tb  0.591  0.273  0.182

## Properties
SG = P-1, No. 2
volume = 333.7 Å³ per cell



Run x
Computed, not measured: Tb2Er5Tm4 after structural relaxation at the GGA-PBE level of DFT.

a b c (Å): 3.450 8.868 12.402
angles (deg): 110.95 98.00 90.00
Positions (direct):
Er  0.857  0.054  0.714
Er  0.143  0.339  0.286
Er  0.500  0.000  0.000
Er  0.857  0.661  0.714
Er  0.143  0.946  0.286
Tb  0.268  0.268  0.536
Tb  0.732  0.732  0.464
Tm  0.597  0.597  0.194
Tm  0.000  0.311  0.000
Tm  0.403  0.403  0.806
Tm  0.000  0.689  0.000

## Properties
SG = Immm, No. 71
volume = 350.4 Å³ per cell



Taking the most stable structure as the zero point, the relative energies in eV/atom are run w 0.000; run x 0.204.



Run w
Computed, not measured: Tb3Er3Tm8 after structural relaxation at the GGA-PBE level of DFT.

a b c (Å): 5.532 9.488 9.488
angles (deg): 101.44 73.05 73.05
Positions (direct):
Tm  0.659  0.119  0.563
Tm  0.843  0.761  0.553
Tm  0.157  0.447  0.239
Tm  0.341  0.437  0.881
Tm  0.659  0.563  0.119
Tm  0.843  0.553  0.761
Tm  0.157  0.239  0.447
Tm  0.341  0.881  0.437
Er  0.500  0.500  0.500
Er  0.795  0.205  0.205
Er  0.205  0.795  0.795
Tb  0.000  0.819  0.181
Tb  0.500  0.000  0.000
Tb  0.000  0.181  0.819

## Properties
SG = Immm, No. 71
volume = 433.3 Å³ per cell



Run x
Computed, not measured: Tb3Er3Tm8 after structural relaxation at the GGA-PBE level of DFT.

a b c (Å): 5.530 9.492 9.492
angles (deg): 101.65 73.06 73.06
Positions (direct):
Er  0.000  0.183  0.817
Er  0.000  0.817  0.183
Er  0.500  0.000  0.000
Tb  0.203  0.797  0.797
Tb  0.500  0.500  0.500
Tb  0.797  0.203  0.203
Tm  0.341  0.436  0.881
Tm  0.842  0.762  0.553
Tm  0.842  0.553  0.762
Tm  0.659  0.564  0.119
Tm  0.659  0.119  0.564
Tm  0.158  0.238  0.447
Tm  0.158  0.447  0.238
Tm  0.341  0.881  0.436

## Properties
SG = Immm, No. 71
volume = 433.1 Å³ per cell



Taking the most stable structure as the zero point, the relative energies in eV/atom are run w 0.000; run x 0.006.



Run w
Computed, not measured: Tb2ErTm3 after structural relaxation at the GGA-PBE level of DFT.

a b c (Å): 6.068 7.020 9.286
angles (deg): 112.21 89.89 90.00
Positions (direct):
Tm  0.417  0.959  0.668
Tm  0.083  0.291  0.332
Tm  0.917  0.709  0.668
Tm  0.583  0.041  0.332
Tm  0.250  0.375  0.000
Tm  0.750  0.625  0.000
Tb  0.916  0.208  0.667
Tb  0.084  0.792  0.333
Tb  0.584  0.541  0.333
Tb  0.416  0.459  0.667
Er  0.750  0.125  0.000
Er  0.250  0.875  0.000

## Properties
SG = C2/c, No. 15
volume = 366.2 Å³ per cell



Run x
Computed, not measured: Tb2ErTm3 after structural relaxation at the GGA-PBE level of DFT.

a b c (Å): 11.360 6.126 6.126
angles (deg): 120.02 90.00 90.00
Positions (direct):
Er  0.220  0.167  0.167
Er  0.720  0.833  0.833
Tm  0.970  0.500  0.500
Tm  0.470  0.834  0.166
Tm  0.470  0.500  0.500
Tm  0.970  0.166  0.834
Tm  0.970  0.834  0.166
Tm  0.470  0.166  0.834
Tb  0.720  0.501  0.167
Tb  0.220  0.833  0.499
Tb  0.220  0.499  0.833
Tb  0.720  0.167  0.501

## Properties
SG = Cmcm, No. 63
volume = 369.1 Å³ per cell



Taking the most stable structure as the zero point, the relative energies in eV/atom are run w 0.013; run x 0.000.



Run w
Computed, not measured: Tb6ErTm2 after structural relaxation at the GGA-PBE level of DFT.

a b c (Å): 6.527 9.499 9.499
angles (deg): 96.20 80.55 80.55
Positions (direct):
Tb  0.497  0.352  0.720
Tb  0.003  0.280  0.648
Tb  0.816  0.954  0.778
Tb  0.997  0.720  0.352
Tb  0.503  0.648  0.280
Tb  0.684  0.222  0.046
Tb  0.275  0.939  0.539
Tb  0.184  0.046  0.222
Tb  0.725  0.061  0.461
Tb  0.225  0.461  0.061
Tb  0.775  0.539  0.939
Tb  0.316  0.778  0.954
Er  0.750  0.880  0.120
Er  0.250  0.120  0.880
Tm  0.134  0.619  0.664
Tm  0.366  0.336  0.381
Tm  0.866  0.381  0.336
Tm  0.634  0.664  0.619

## Properties
SG = C2/c, No. 15
volume = 567.6 Å³ per cell



Run x
Computed, not measured: Tb6ErTm2 after structural relaxation at the GGA-PBE level of DFT.

a b c (Å): 3.533 8.645 12.727
angles (deg): 132.80 82.02 90.06
Positions (direct):
Er  0.000  0.000  0.000
Tm  0.555  0.223  0.890
Tm  0.445  0.777  0.110
Tb  0.222  0.890  0.557
Tb  0.334  0.332  0.332
Tb  0.778  0.110  0.443
Tb  0.889  0.554  0.220
Tb  0.111  0.446  0.780
Tb  0.666  0.668  0.668

## Properties
SG = P-1, No. 2
volume = 280.1 Å³ per cell



Taking the most stable structure as the zero point, the relative energies in eV/atom are run w 0.094; run x 0.000.